Density functional theory data (PBE) for crystalline Pr4TlHg2Pb at its relaxed geometry.

It has space group R-3m (No. 166, hexagonal axes), with a = 5.5205 Å, b = 5.5205 Å, c = 27.1712 Å, α = 90.00°, β = 90.00° and γ = 120.00°. Symmetry generates all atoms from Pr at (0.0000, 0.0000, 0.1243), Pr at (0.0000, 0.0000, 0.3747), Tl at (0.0000, 0.0000, 0.5000), Hg at (0.0000, 0.0000, 0.2456) and Pb at (0.0000, 0.0000, 0.0000).

Its total moment is 0.00 μB/f.u. The formation energy is -3.82 eV/f.u.